No. 1
Material: Sc2SbBr
Method: DFT, PBE
State: optimized geometry

- E_form (uncorrected) (eV/atom) = -0.84
- space group = Pmm2, No. 25

a = 5.7384 Å, b = 4.0899 Å, c = 4.0871 Å
α = 90.00°, β = 90.00°, γ = 90.00°
Sites, in units of the cell vectors:
Br  0.0000  0.3784  0.3750
Sc  0.5000  0.3703  0.3750
Sc  0.0000  0.8801  0.8750
Sb  0.5000  0.8711  0.8750



No. 2
Material: CuOs2Cl
Method: DFT, PBE
State: optimized geometry

- E_form (uncorrected) (eV/atom) = 1.37
- space group = Fm-3m, No. 225

a = 4.2752 Å, b = 4.2752 Å, c = 4.2752 Å
α = 60.00°, β = 60.00°, γ = 60.00°
Sites, in units of the cell vectors:
Os  0.7500  0.7500  0.7500
Cu  0.5000  0.5000  0.5000
Os  0.2500  0.2500  0.2500
Cl  0.0000  0.0000  0.0000



No. 3
Material: DyTlBr
Method: DFT, PBE
State: optimized geometry

- E_form (uncorrected) (eV/atom) = -0.89
- space group = P-1, No. 2

a = 3.7834 Å, b = 4.7264 Å, c = 12.3471 Å
α = 89.80°, β = 106.82°, γ = 90.00°
Sites, in units of the cell vectors:
Dy  0.0984  0.9481  0.9920
Dy  0.4306  0.4449  0.3436
Br  0.4329  0.9489  0.8167
Tl  0.6858  0.4473  0.0845
Tl  0.8433  0.9458  0.2512
Br  0.0962  0.4423  0.5189



No. 4
Material: Ba2AcIn2Bi4
Method: DFT, PBE
State: optimized geometry

- space group = C2/m, No. 12
- energy relative to the elements (meV per atom) = -616

a = 5.1057 Å, b = 8.2691 Å, c = 9.1113 Å
α = 107.30°, β = 106.27°, γ = 90.00°
Sites, in units of the cell vectors:
Bi  0.5122  0.7175  0.0243
In  0.6702  0.0040  0.3404
Bi  0.7906  0.7849  0.5811
Bi  0.4878  0.2825  0.9757
Ba  0.8658  0.4158  0.7316
In  0.3298  0.9960  0.6596
Ba  0.1342  0.5842  0.2684
Bi  0.2094  0.2151  0.4189
Ac  0.0000  0.0000  0.0000



No. 5
Material: TlSi2Se
Method: DFT, PBE
State: optimized geometry

- E_form (uncorrected) (eV/atom) = 0.62
- space group = P4/mmm, No. 123

a = 4.6457 Å, b = 4.3111 Å, c = 4.3111 Å
α = 90.00°, β = 90.00°, γ = 90.00°
Sites, in units of the cell vectors:
Tl  0.5000  0.5000  0.0000
Se  0.5000  0.0000  0.5000
Si  0.0000  0.5000  0.5000
Si  0.0000  0.0000  0.0000



No. 6
Material: VHPt3
Method: DFT, PBE
State: optimized geometry

- raw total energy (eV/cell) = -23.97
- space group = Pm-3m, No. 221

a = 4.6420 Å, b = 4.6420 Å, c = 4.6420 Å
α = 90.00°, β = 90.00°, γ = 90.00°
Site moments in Bohr magnetons follow the coordinates.
Sites, in units of the cell vectors:
Pt  0.5000  0.0000  0.0000  0.06
Pt  0.0000  0.5000  0.0000  0.06
H  0.5000  0.5000  0.5000  0.33
Pt  0.0000  0.0000  0.5000  0.06
V  0.0000  0.0000  0.0000  0.44



No. 7
Material: Cd7Hg2Pb2
Method: DFT, PBE
State: optimized geometry

- space group = C2/m, No. 12
- energy relative to the elements (meV per atom) = 35

a = 5.9866 Å, b = 5.9866 Å, c = 10.0662 Å
α = 104.37°, β = 104.37°, γ = 118.60°
Sites, in units of the cell vectors:
Cd  0.3000  0.3000  0.8299
Cd  0.7302  0.2195  0.1663
Cd  0.7000  0.7000  0.1701
Hg  0.3692  0.3692  0.3357
Cd  0.0000  0.0000  0.0000
Cd  0.2698  0.7805  0.8337
Pb  0.1691  0.8309  0.5000
Pb  0.8309  0.1691  0.5000
Cd  0.2195  0.7302  0.1663
Hg  0.6308  0.6308  0.6643
Cd  0.7805  0.2698  0.8337



No. 8
Material: CuPtAu2
Method: DFT, PBE
State: optimized geometry

- space group = Pm, No. 6
- energy relative to the elements (meV per atom) = -22

a = 3.6453 Å, b = 2.9234 Å, c = 6.7171 Å
α = 64.03°, β = 90.00°, γ = 90.00°
Sites, in units of the cell vectors:
Pt  0.5000  0.7721  0.7284
Au  0.0000  0.0080  0.9917
Au  0.5000  0.2312  0.2685
Cu  0.0000  0.4887  0.5114



No. 9
Material: SiAgSCl2
Method: DFT, PBE
State: optimized geometry

- E_form (uncorrected) (eV/atom) = 0.59
- space group = P4/mmm, No. 123

a = 4.8308 Å, b = 5.0399 Å, c = 4.8308 Å
α = 90.00°, β = 90.00°, γ = 90.00°
Site moments in Bohr magnetons follow the coordinates.
Sites, in units of the cell vectors:
Ag  0.5000  0.5000  0.5000  0.02
S  0.0000  0.0000  0.0000  0.01
Si  0.0000  0.5000  0.0000  0.10
Cl  0.5000  0.0000  0.0000  0.04
Cl  0.0000  0.0000  0.5000  0.01



No. 10
Material: DyYH2
Method: DFT, PBE
State: optimized geometry

- raw total energy (eV/cell) = -19.85
- space group = R-3m, No. 166

a = 3.6408 Å, b = 3.6408 Å, c = 6.2786 Å
α = 73.15°, β = 73.15°, γ = 60.00°
Sites, in units of the cell vectors:
H  0.1253  0.1253  0.6242
H  0.8747  0.8747  0.3758
Y  0.5000  0.5000  0.5000
Dy  0.0000  0.0000  0.0000